Here is crystalline BaCd2Ru at its relaxed geometry from Alexandria via LeMat-Bulk. Energies are from PBE.

Cell and atoms, written as POSCAR:
```
BaCd2Ru
1.0
0.0000 3.6972 3.6972
3.6972 0.0000 3.6972
3.6972 3.6972 0.0000
Ru Ba Cd
1 1 2
Direct
0.0000 0.0000 0.0000
0.5000 0.5000 0.5000
0.2500 0.2500 0.2500
0.7500 0.7500 0.7500
```

## Properties
ΔE_f ... 9.947 kcal/mol of atoms
Total DFT energy (no corrections) ... -2.826 eV per atom
SG ... No. 225